# 1
# CeHoSn

A relaxed structure of CeHoSn (PBE, Alexandria via LeMat-Bulk).

Its energy above the most stable polymorph in this dataset is 0.022 eV per atom. As for the formation energy: -0.557 eV per atom. As for the size of the total moment: 1.35 μB/f.u. The density of states at the Fermi level is 1.9150 states/eV/atom.

The space group is P6_3/mmc (No. 194) and the conventional cell measures 5.4395, 5.4395 and 6.4480 Å, with angles of 90.00, 90.00 and 120.00 degrees. The inequivalent atoms are Ce at (0.0000, 0.0000, 0.0000), Ho at (0.3333, 0.6667, 0.2500) and Sn at (0.3333, 0.6667, 0.7500).

=====

# 2
# RbBa2GaO4

A relaxed structure of RbBa2GaO4 (PBE, Alexandria via LeMat-Bulk).

As for the size of the total moment: 0.00 μB/f.u. The value obtained for the formation energy (no corrections) is -2.0801 eV/atom. The density of states at the Fermi level is 0.0000 states/eV/atom.

The space group is Cmcm (No. 63) and the conventional cell measures 3.696, 13.777 and 13.086 Å, with angles of 90.00, 90.00 and 90.00 degrees. The inequivalent atoms are Rb at (0.000, 0.090, 0.250), Ba at (0.000, 0.370, 0.037), Ga at (0.000, 0.194, 0.750), O at (0.000, 0.000, 0.000), O at (0.000, 0.260, 0.628) and O at (0.000, 0.378, 0.250).

=====

# 3
# AcYBe2Si2

A relaxed structure of AcYBe2Si2 (PBE, Alexandria via LeMat-Bulk).

As for the size of the total moment: 0.00 μB/f.u. The value obtained for the formation energy (no corrections) is -0.5478 eV/atom. The density of states at the Fermi level is 0.6254 states/eV/atom.

The space group is P-3m1 (No. 164) and the conventional cell measures 3.9666, 3.9666 and 8.6878 Å, with angles of 90.00, 90.00 and 120.00 degrees. The inequivalent atoms are Ac at (0.0000, 0.0000, 0.0000), Y at (0.0000, 0.0000, 0.5000), Be at (0.3333, 0.6667, 0.7279) and Si at (0.3333, 0.6667, 0.2736).

=====

# 4
# BeNb2P

A relaxed structure of BeNb2P (PBE, Alexandria via LeMat-Bulk).

Its energy above the most stable polymorph in this dataset is 1.267 eV per atom. As for the formation energy: 0.518 eV per atom. As for the size of the total moment: 0.00 μB/f.u. The density of states at the Fermi level is 1.1265 states/eV/atom.

The space group is R-3m (No. 166, hexagonal axes) and the conventional cell measures 3.4047, 3.4047 and 23.6705 Å, with angles of 90.00, 90.00 and 120.00 degrees. The inequivalent atoms are Be at (0.0000, 0.0000, 0.0000), Nb at (0.0000, 0.0000, 0.1084) and P at (0.0000, 0.0000, 0.5000).

=====

# 5
# NaIn2NiGe

A relaxed structure of NaIn2NiGe (PBE, Alexandria via LeMat-Bulk).

As for the formation energy: -0.016 eV per atom. As for the size of the total moment: 0.00 μB/f.u. The density of states at the Fermi level is 0.5683 states/eV/atom.

The space group is P4/mmm (No. 123) and the conventional cell measures 5.083, 5.083 and 4.575 Å, with angles of 90.00, 90.00 and 90.00 degrees. The inequivalent atoms are Na at (0.000, 0.000, 0.000), In at (0.000, 0.500, 0.500), Ni at (0.500, 0.500, 0.500) and Ge at (0.500, 0.500, 0.000).

=====

# 6
# HfBiTe2Os

A relaxed structure of HfBiTe2Os (PBE, Alexandria via LeMat-Bulk).

As for the size of the total moment: 0.00 μB/f.u. The value obtained for the formation energy (no corrections) is 0.5517 eV/atom. The density of states at the Fermi level is 1.0024 states/eV/atom.

The space group is P4/mmm (No. 123) and the conventional cell measures 5.267, 5.267 and 5.051 Å, with angles of 90.00, 90.00 and 90.00 degrees. The inequivalent atoms are Hf at (0.000, 0.000, 0.000), Bi at (0.500, 0.500, 0.000), Te at (0.000, 0.500, 0.500) and Os at (0.000, 0.000, 0.500).

=====

# 7
# TiRhN3

A relaxed structure of TiRhN3 (PBE, Alexandria via LeMat-Bulk).

As for the size of the total moment: 0.00 μB/f.u. The value obtained for the formation energy (no corrections) is 1.0768 eV/atom. The density of states at the Fermi level is 1.0664 states/eV/atom.

The space group is Pm-3m (No. 221) and the conventional cell measures 3.817, 3.817 and 3.817 Å, with angles of 90.00, 90.00 and 90.00 degrees. The inequivalent atoms are Ti at (0.000, 0.000, 0.000), Rh at (0.500, 0.500, 0.500) and N at (0.000, 0.500, 0.500).

=====

# 8
# Li2AcSeO5

A relaxed structure of Li2AcSeO5 (PBE, Alexandria via LeMat-Bulk).

As for the size of the total moment: 1.00 μB/f.u. The value obtained for the formation energy (no corrections) is -1.6756 eV/atom. The density of states at the Fermi level is 0.1113 states/eV/atom.

The space group is I4/mcm (No. 140) and the conventional cell measures 7.166, 7.166 and 10.295 Å, with angles of 90.00, 90.00 and 90.00 degrees. The inequivalent atoms are Li at (0.228, 0.272, 0.000), Ac at (0.000, 0.000, 0.250), Se at (0.000, 0.500, 0.250), O at (0.000, 0.000, 0.000) and O at (0.153, 0.347, 0.164).

=====

# 9
# Ti3V2Ge

A relaxed structure of Ti3V2Ge (PBE, Alexandria via LeMat-Bulk).

As for the formation energy: -0.190 eV per atom. As for the size of the total moment: 0.01 μB/f.u. The density of states at the Fermi level is 1.5944 states/eV/atom.

The space group is Cmmm (No. 65) and the conventional cell measures 4.348, 12.670 and 3.319 Å, with angles of 90.00, 90.00 and 90.00 degrees. The inequivalent atoms are Ti at (0.000, 0.000, 0.000), Ti at (0.000, 0.325, 0.000), V at (0.000, 0.162, 0.500) and Ge at (0.000, 0.500, 0.500).

=====

# 10
# Ca2ZnPd

A relaxed structure of Ca2ZnPd (PBE, Alexandria via LeMat-Bulk).

As for the formation energy: -0.461 eV per atom. As for the size of the total moment: 0.00 μB/f.u. The density of states at the Fermi level is 0.5706 states/eV/atom.

The space group is P4/mmm (No. 123) and the conventional cell measures 3.619, 3.619 and 7.151 Å, with angles of 90.00, 90.00 and 90.00 degrees. The inequivalent atoms are Ca at (0.000, 0.000, 0.238), Zn at (0.500, 0.500, 0.500) and Pd at (0.500, 0.500, 0.000).

=====

# 11
# BaSi2P

A relaxed structure of BaSi2P (PBE, Alexandria via LeMat-Bulk).

As for the size of the total moment: 0.00 μB/f.u. The value obtained for the formation energy (no corrections) is 0.0668 eV/atom. The density of states at the Fermi level is 0.4749 states/eV/atom.

The space group is Immm (No. 71) and the conventional cell measures 3.399, 5.709 and 9.492 Å, with angles of 90.00, 90.00 and 90.00 degrees. The inequivalent atoms are Ba at (0.000, 0.000, 0.000), Si at (0.000, 0.500, 0.188) and P at (0.000, 0.000, 0.500).

=====

# 12
# NpCdIrO6

A relaxed structure of NpCdIrO6 (PBE, Alexandria via LeMat-Bulk).

As for the size of the total moment: 0.50 μB/f.u. The value obtained for the formation energy (no corrections) is -1.5729 eV/atom. The density of states at the Fermi level is 1.0550 states/eV/atom.

The space group is P-31c (No. 163) and the conventional cell measures 5.4383, 5.4383 and 9.0038 Å, with angles of 90.00, 90.00 and 120.00 degrees. The inequivalent atoms are Np at (0.3333, 0.6667, 0.2500), Cd at (0.3333, 0.6667, 0.7500), Ir at (0.0000, 0.0000, 0.0000) and O at (0.0374, 0.3283, 0.1207).

=====

> Which formula does entry 3 have?

AcYBe2Si2